Entry 1:
This record from Alexandria via LeMat-Bulk describes crystalline Ac2CeHoTe5 at its relaxed geometry. The functional is GGA-PBE.

a = 5.4815 Å, b = 5.4815 Å, c = 11.9121 Å
α = 90.00°, β = 90.00°, γ = 90.00°
Sites, in units of the cell vectors:
1 Ac 0.0000 0.0000 0.2011
2 Ac 0.0000 0.0000 0.7989
3 Ce 0.5000 0.5000 0.5000
4 Ho 0.5000 0.5000 0.0000
5 Te 0.0000 0.0000 0.5000
6 Te 0.0000 0.5000 0.0000
7 Te 0.5000 0.0000 0.0000
8 Te 0.5000 0.5000 0.2496
9 Te 0.5000 0.5000 0.7504

Computed properties:
raw formation energy: -1.024 eV per atom
space group: P4/mmm

***

Entry 2:
This record from Alexandria via LeMat-Bulk describes crystalline Rb2ScBrF6 at its relaxed geometry. The functional is GGA-PBE.

a = 6.5167 Å, b = 6.5167 Å, c = 6.5167 Å
α = 113.33°, β = 113.33°, γ = 101.99°
Sites, in units of the cell vectors:
1 Rb 0.2500 0.7500 0.5000
2 Rb 0.7500 0.2500 0.5000
3 Sc 0.0000 0.0000 0.0000
4 Br 0.5000 0.5000 0.0000
5 F 0.1967 0.1967 0.3934
6 F 0.1967 0.8033 0.0000
7 F 0.2574 0.2574 0.0000
8 F 0.7426 0.7426 0.0000
9 F 0.8033 0.1967 0.0000
10 F 0.8033 0.8033 0.6066

Computed properties:
raw formation energy: -2.753 eV per atom
space group: I4/mmm

***

Entry 3:
This record from Alexandria via LeMat-Bulk describes crystalline MnZnNiAs at its relaxed geometry. The functional is GGA-PBE.

a = 2.9502 Å, b = 4.3710 Å, c = 4.3640 Å
α = 90.00°, β = 90.00°, γ = 90.00°
Sites, in units of the cell vectors:
1 Mn 0.0000 0.0000 0.0000
2 Zn 0.5000 0.0000 0.4862
3 Ni 0.5000 0.5000 0.1852
4 As 0.0000 0.5000 0.7048

Computed properties:
energy above the lowest structure with this stoichiometry: 0.128 eV/atom
space group: Pmm2

***

Entry 4:
This record from Alexandria via LeMat-Bulk describes crystalline Nd6Y2Ho at its relaxed geometry. The functional is GGA-PBE.

a = 10.0610 Å, b = 10.0610 Å, c = 3.6856 Å
α = 90.00°, β = 90.00°, γ = 124.01°
Sites, in units of the cell vectors:
1 Nd 0.0100 0.3401 0.0000
2 Nd 0.1851 0.1851 0.5000
3 Nd 0.3401 0.0100 0.0000
4 Nd 0.6599 0.9900 0.0000
5 Nd 0.8149 0.8149 0.5000
6 Nd 0.9900 0.6599 0.0000
7 Y 0.3238 0.6762 0.5000
8 Y 0.6762 0.3238 0.5000
9 Ho 0.5000 0.5000 0.0000

Computed properties:
energy above the lowest structure with this stoichiometry: 0.000 eV/atom
space group: Cmmm

***

Entry 5:
This record from Alexandria via LeMat-Bulk describes crystalline Ba3Mg2RuO8 at its relaxed geometry. The functional is GGA-PBE.

a = 5.7955 Å, b = 5.7955 Å, c = 7.6032 Å
α = 90.00°, β = 90.00°, γ = 120.00°
Sites, in units of the cell vectors:
1 Ba 0.0000 0.0000 0.0000
2 Ba 0.3333 0.6667 0.6520
3 Ba 0.6667 0.3333 0.3480
4 Mg 0.3333 0.6667 0.2249
5 Mg 0.6667 0.3333 0.7751
6 Ru 0.0000 0.0000 0.5000
7 O 0.1578 0.3155 0.3455
8 O 0.1578 0.8422 0.3455
9 O 0.3155 0.1578 0.6545
10 O 0.3333 0.6667 0.9770
11 O 0.6667 0.3333 0.0230
12 O 0.6845 0.8422 0.3455
13 O 0.8422 0.1578 0.6545
14 O 0.8422 0.6845 0.6545

Computed properties:
raw formation energy: -2.071 eV per atom
space group: P-3m1

***

Entry 6:
This record from Alexandria via LeMat-Bulk describes crystalline AcPbF at its relaxed geometry. The functional is GGA-PBE.

a = 6.8372 Å, b = 6.8372 Å, c = 6.8372 Å
α = 149.06°, β = 149.06°, γ = 44.32°
Sites, in units of the cell vectors:
1 Ac 0.0000 0.0000 0.0000
2 Pb 0.2830 0.2830 0.0000
3 F 0.5492 0.5492 0.0000

Computed properties:
energy above the lowest structure with this stoichiometry: 0.357 eV/atom
raw formation energy: -1.669 eV per atom
space group: I4mm

***

no.,size of the total moment (μB per cell)
1,1.7
2,0.0
3,3.4
4,0.0
5,3.0
6,0.0